[1]
The following is a PBE calculation of a relaxed Tb3Ho8Tm4 crystal, from Alexandria via LeMat-Bulk.

Lattice parameters (Å, degrees): 9.161 9.161 6.649 111.03 111.03 87.72
Fractional positions:
Tb 0.000 0.000 0.000
Tb 0.000 0.500 0.000
Tb 0.500 0.000 0.000
Ho 0.142 0.858 0.500
Ho 0.230 0.230 0.941
Ho 0.241 0.241 0.473
Ho 0.250 0.750 0.000
Ho 0.750 0.250 0.000
Ho 0.759 0.759 0.527
Ho 0.770 0.770 0.059
Ho 0.858 0.142 0.500
Tm 0.000 0.500 0.500
Tm 0.500 0.000 0.500
Tm 0.500 0.500 0.000
Tm 0.500 0.500 0.500

Output
E_form   0.413 eV/atom
Space group   No. 12
Total magnetization   0.0 μB per cell



[2]
The following is a PBE calculation of a relaxed Tb5HoTm3 crystal, from Alexandria via LeMat-Bulk.

Lattice parameters (Å, degrees): 9.414 9.414 9.787 120.68 120.68 74.44
Fractional positions:
Tb 0.101 0.605 0.254
Tb 0.225 0.225 0.236
Tb 0.243 0.757 0.000
Tb 0.278 0.278 0.960
Tb 0.395 0.899 0.746
Tb 0.605 0.101 0.254
Tb 0.722 0.722 0.040
Tb 0.757 0.243 0.000
Tb 0.775 0.775 0.764
Tb 0.899 0.395 0.746
Ho 0.247 0.247 0.597
Ho 0.753 0.753 0.403
Tm 0.000 0.000 0.500
Tm 0.010 0.010 0.822
Tm 0.482 0.482 0.641
Tm 0.500 0.500 0.000
Tm 0.518 0.518 0.359
Tm 0.990 0.990 0.178

Output
E_form   0.515 eV/atom
Space group   No. 12
Total magnetization   0.0 μB per cell
Relative energy among the computed polymorphs   300 meV per atom



[3]
The following is a PBE calculation of a relaxed Tb2Ho3Tm7 crystal, from Alexandria via LeMat-Bulk.

Lattice parameters (Å, degrees): 18.654 18.654 3.546 90.00 90.00 162.32
Fractional positions:
Tb 0.175 0.825 0.000
Tb 0.825 0.175 0.000
Ho 0.351 0.649 0.500
Ho 0.500 0.500 0.500
Ho 0.649 0.351 0.500
Tm 0.000 0.000 0.000
Tm 0.089 0.911 0.500
Tm 0.271 0.729 0.000
Tm 0.428 0.572 0.000
Tm 0.572 0.428 0.000
Tm 0.729 0.271 0.000
Tm 0.911 0.089 0.500

Output
E_form   0.166 eV/atom
Space group   No. 65
Total magnetization   0.0 μB per cell
Relative energy among the computed polymorphs   82 meV per atom



[4]
The following is a PBE calculation of a relaxed Tb4HoTm crystal, from Alexandria via LeMat-Bulk.

Lattice parameters (Å, degrees): 6.529 6.529 6.529 60.00 60.00 60.00
Fractional positions:
Tb 0.125 0.125 0.125
Tb 0.125 0.125 0.625
Tb 0.125 0.625 0.125
Tb 0.625 0.125 0.125
Ho 0.750 0.750 0.750
Tm 0.500 0.500 0.500

Output
E_form   0.260 eV/atom
Space group   No. 216
Total magnetization   0.0 μB per cell
Relative energy among the computed polymorphs   242 meV per atom



[5]
The following is a PBE calculation of a relaxed Tb2HoTm4 crystal, from Alexandria via LeMat-Bulk.

Lattice parameters (Å, degrees): 6.169 3.564 19.700 90.00 95.98 90.00
Fractional positions:
Tb 0.000 0.000 0.000
Tb 0.094 0.000 0.288
Tb 0.500 0.500 0.000
Tb 0.594 0.500 0.288
Ho 0.405 0.500 0.714
Ho 0.905 0.000 0.714
Tm 0.190 0.000 0.572
Tm 0.214 0.500 0.144
Tm 0.286 0.000 0.856
Tm 0.309 0.500 0.431
Tm 0.690 0.500 0.572
Tm 0.714 0.000 0.144
Tm 0.786 0.500 0.856
Tm 0.809 0.000 0.431

Output
E_form   0.001 eV/atom
Space group   No. 8
Total magnetization   0.0 μB per cell
Relative energy among the computed polymorphs   0 meV per atom



[6]
The following is a PBE calculation of a relaxed Tb7HoTm2 crystal, from Alexandria via LeMat-Bulk.

Lattice parameters (Å, degrees): 9.427 9.427 9.427 146.62 136.53 55.89
Fractional positions:
Tb 0.000 0.000 0.000
Tb 0.140 0.390 0.750
Tb 0.301 0.801 0.500
Tb 0.359 0.610 0.750
Tb 0.641 0.390 0.250
Tb 0.699 0.199 0.500
Tb 0.860 0.610 0.250
Ho 0.500 0.000 0.500
Tm 0.199 0.199 0.000
Tm 0.801 0.801 0.000

Output
E_form   0.050 eV/atom
Space group   No. 71
Total magnetization   0.0 μB per cell
Relative energy among the computed polymorphs   0 meV per atom



[7]
The following is a PBE calculation of a relaxed Tb6Ho5Tm crystal, from Alexandria via LeMat-Bulk.

Lattice parameters (Å, degrees): 6.116 6.116 11.690 94.98 94.98 119.95
Fractional positions:
Tb 0.083 0.416 0.250
Tb 0.250 0.250 0.750
Tb 0.416 0.083 0.250
Tb 0.584 0.917 0.750
Tb 0.750 0.750 0.250
Tb 0.917 0.584 0.750
Ho 0.167 0.833 0.500
Ho 0.333 0.667 0.000
Ho 0.500 0.500 0.500
Ho 0.667 0.333 0.000
Ho 0.833 0.167 0.500
Tm 0.000 0.000 0.000

Output
E_form   0.017 eV/atom
Space group   No. 12
Total magnetization   0.0 μB per cell



[8]
The following is a PBE calculation of a relaxed TbHo4Tm10 crystal, from Alexandria via LeMat-Bulk.

Lattice parameters (Å, degrees): 9.282 9.282 9.282 99.57 99.57 131.86
Fractional positions:
Tb 0.000 0.000 0.000
Ho 0.200 0.600 0.799
Ho 0.400 0.200 0.600
Ho 0.600 0.800 0.400
Ho 0.800 0.400 0.201
Tm 0.051 0.150 0.700
Tm 0.150 0.451 0.100
Tm 0.250 0.750 0.500
Tm 0.351 0.051 0.900
Tm 0.451 0.351 0.300
Tm 0.549 0.649 0.700
Tm 0.649 0.949 0.100
Tm 0.750 0.250 0.500
Tm 0.850 0.549 0.900
Tm 0.949 0.850 0.300

Output
E_form   0.733 eV/atom
Space group   No. 87
Total magnetization   0.0 μB per cell



[9]
The following is a PBE calculation of a relaxed Tb5Ho3Tm crystal, from Alexandria via LeMat-Bulk.

Lattice parameters (Å, degrees): 8.755 8.755 11.279 106.86 106.86 44.53
Fractional positions:
Tb 0.056 0.295 0.876
Tb 0.139 0.386 0.647
Tb 0.227 0.773 0.750
Tb 0.295 0.056 0.376
Tb 0.386 0.139 0.147
Tb 0.614 0.861 0.853
Tb 0.705 0.944 0.624
Tb 0.773 0.227 0.250
Tb 0.861 0.614 0.353
Tb 0.944 0.705 0.124
Ho 0.000 0.000 0.000
Ho 0.000 0.000 0.500
Ho 0.386 0.400 0.455
Ho 0.400 0.386 0.955
Ho 0.600 0.614 0.045
Ho 0.614 0.600 0.545
Tm 0.316 0.684 0.250
Tm 0.684 0.316 0.750

Output
E_form   0.175 eV/atom
Space group   No. 15
Total magnetization   0.0 μB per cell
Relative energy among the computed polymorphs   0 meV per atom



[10]
The following is a PBE calculation of a relaxed Tb12HoTm5 crystal, from Alexandria via LeMat-Bulk.

Lattice parameters (Å, degrees): 10.586 4.996 10.600 90.00 90.16 90.00
Fractional positions:
Tb 0.001 0.000 0.167
Tb 0.166 0.500 0.666
Tb 0.168 0.500 0.001
Tb 0.333 0.000 0.499
Tb 0.334 0.000 0.834
Tb 0.499 0.500 0.332
Tb 0.501 0.500 0.668
Tb 0.666 0.000 0.166
Tb 0.667 0.000 0.501
Tb 0.832 0.500 0.999
Tb 0.834 0.500 0.334
Tb 0.999 0.000 0.833
Ho 0.000 0.000 0.500
Tm 0.167 0.500 0.333
Tm 0.333 0.000 0.167
Tm 0.500 0.500 0.000
Tm 0.667 0.000 0.833
Tm 0.833 0.500 0.667

Output
E_form   0.020 eV/atom
Space group   No. 10
Total magnetization   0.0 μB per cell



[11]
The following is a PBE calculation of a relaxed Tb2Ho5Tm12 crystal, from Alexandria via LeMat-Bulk.

Lattice parameters (Å, degrees): 6.059 9.263 10.492 101.00 95.60 90.13
Fractional positions:
Tb 0.079 0.316 0.474
Tb 0.921 0.684 0.526
Ho 0.237 0.947 0.421
Ho 0.342 0.368 0.052
Ho 0.500 0.000 0.000
Ho 0.658 0.632 0.948
Ho 0.763 0.053 0.579
Tm 0.026 0.105 0.157
Tm 0.132 0.526 0.790
Tm 0.184 0.737 0.105
Tm 0.289 0.158 0.737
Tm 0.395 0.579 0.368
Tm 0.447 0.790 0.685
Tm 0.553 0.210 0.315
Tm 0.605 0.421 0.632
Tm 0.711 0.842 0.263
Tm 0.816 0.263 0.895
Tm 0.868 0.474 0.210
Tm 0.974 0.895 0.843

Output
E_form   0.025 eV/atom
Space group   No. 2
Total magnetization   0.0 μB per cell
Relative energy among the computed polymorphs   0 meV per atom



[12]
The following is a PBE calculation of a relaxed Tb4HoTm crystal, from Alexandria via LeMat-Bulk.

Lattice parameters (Å, degrees): 11.797 11.797 11.797 152.25 41.22 150.14
Fractional positions:
Tb 0.093 0.425 0.669
Tb 0.150 0.062 0.088
Tb 0.256 0.425 0.831
Tb 0.473 0.062 0.412
Tb 0.527 0.938 0.588
Tb 0.744 0.575 0.169
Tb 0.850 0.938 0.912
Tb 0.907 0.575 0.331
Ho 0.000 0.500 0.500
Ho 0.500 0.500 0.000
Tm 0.329 0.079 0.250
Tm 0.671 0.921 0.750

Output
E_form   0.068 eV/atom
Space group   No. 74
Total magnetization   0.0 μB per cell
Relative energy among the computed polymorphs   50 meV per atom



[13]
The following is a PBE calculation of a relaxed Tb2Ho4Tm crystal, from Alexandria via LeMat-Bulk.

Lattice parameters (Å, degrees): 6.027 6.530 11.440 90.00 104.30 90.00
Fractional positions:
Tb 0.103 0.250 0.495
Tb 0.216 0.250 0.075
Tb 0.784 0.750 0.925
Tb 0.897 0.750 0.505
Ho 0.152 0.006 0.789
Ho 0.152 0.494 0.789
Ho 0.348 0.750 0.056
Ho 0.474 0.750 0.641
Ho 0.526 0.250 0.359
Ho 0.652 0.250 0.944
Ho 0.848 0.506 0.211
Ho 0.848 0.994 0.211
Tm 0.350 0.750 0.341
Tm 0.650 0.250 0.659

Output
E_form   0.141 eV/atom
Space group   No. 11
Total magnetization   0.0 μB per cell
Relative energy among the computed polymorphs   137 meV per atom



[14]
The following is a PBE calculation of a relaxed Tb6Ho12Tm crystal, from Alexandria via LeMat-Bulk.

Lattice parameters (Å, degrees): 8.464 8.464 8.464 88.38 88.38 88.38
Fractional positions:
Tb 0.190 0.756 0.591
Tb 0.244 0.409 0.810
Tb 0.409 0.810 0.244
Tb 0.591 0.190 0.756
Tb 0.756 0.591 0.190
Tb 0.810 0.244 0.409
Ho 0.043 0.937 0.274
Ho 0.063 0.726 0.957
Ho 0.145 0.489 0.293
Ho 0.274 0.043 0.937
Ho 0.293 0.145 0.489
Ho 0.489 0.293 0.145
Ho 0.511 0.707 0.855
Ho 0.707 0.855 0.511
Ho 0.726 0.957 0.063
Ho 0.855 0.511 0.707
Ho 0.937 0.274 0.043
Ho 0.957 0.063 0.726
Tm 0.500 0.500 0.500

Output
E_form   0.157 eV/atom
Space group   No. 148
Total magnetization   0.0 μB per cell
Relative energy among the computed polymorphs   0 meV per atom



[15]
The following is a PBE calculation of a relaxed TbHo8Tm2 crystal, from Alexandria via LeMat-Bulk.

Lattice parameters (Å, degrees): 10.029 10.029 5.494 92.73 92.73 39.95
Fractional positions:
Tb 0.000 0.000 0.000
Ho 0.133 0.601 0.268
Ho 0.188 0.188 0.233
Ho 0.399 0.867 0.732
Ho 0.453 0.453 0.764
Ho 0.547 0.547 0.236
Ho 0.601 0.133 0.268
Ho 0.812 0.812 0.767
Ho 0.867 0.399 0.732
Tm 0.284 0.284 0.749
Tm 0.716 0.716 0.251

Output
E_form   0.162 eV/atom
Space group   No. 12
Total magnetization   0.0 μB per cell
Relative energy among the computed polymorphs   0 meV per atom



[16]
The following is a PBE calculation of a relaxed Tb4HoTm5 crystal, from Alexandria via LeMat-Bulk.

Lattice parameters (Å, degrees): 7.808 7.808 7.808 99.04 99.04 133.28
Fractional positions:
Tb 0.048 0.347 0.395
Tb 0.347 0.952 0.299
Tb 0.653 0.048 0.701
Tb 0.952 0.653 0.605
Ho 0.769 0.769 0.000
Tm 0.232 0.232 0.000
Tm 0.268 0.645 0.915
Tm 0.353 0.268 0.623
Tm 0.645 0.730 0.377
Tm 0.730 0.353 0.085

Output
E_form   0.309 eV/atom
Space group   No. 79
Total magnetization   0.0 μB per cell
Relative energy among the computed polymorphs   252 meV per atom



[17]
The following is a PBE calculation of a relaxed Tb8HoTm4 crystal, from Alexandria via LeMat-Bulk.

Lattice parameters (Å, degrees): 10.071 10.071 10.071 41.84 41.84 41.84
Fractional positions:
Tb 0.202 0.751 0.751
Tb 0.215 0.215 0.215
Tb 0.249 0.249 0.798
Tb 0.249 0.798 0.249
Tb 0.751 0.202 0.751
Tb 0.751 0.751 0.202
Tb 0.785 0.785 0.785
Tb 0.798 0.249 0.249
Ho 0.500 0.500 0.500
Tm 0.000 0.000 0.000
Tm 0.000 0.500 0.500
Tm 0.500 0.000 0.500
Tm 0.500 0.500 0.000

Output
E_form   0.217 eV/atom
Space group   No. 166
Total magnetization   0.0 μB per cell



[18]
The following is a PBE calculation of a relaxed TbHo9Tm2 crystal, from Alexandria via LeMat-Bulk.

Lattice parameters (Å, degrees): 11.103 11.103 3.468 90.00 90.00 120.00
Fractional positions:
Tb 0.000 0.000 0.000
Ho 0.000 0.500 0.000
Ho 0.177 0.355 0.500
Ho 0.177 0.823 0.500
Ho 0.355 0.177 0.500
Ho 0.500 0.000 0.000
Ho 0.500 0.500 0.000
Ho 0.645 0.823 0.500
Ho 0.823 0.177 0.500
Ho 0.823 0.645 0.500
Tm 0.333 0.667 0.000
Tm 0.667 0.333 0.000

Output
E_form   0.048 eV/atom
Space group   No. 191
Total magnetization   0.0 μB per cell
Relative energy among the computed polymorphs   26 meV per atom



[19]
The following is a PBE calculation of a relaxed Tb7Ho3Tm crystal, from Alexandria via LeMat-Bulk.

Lattice parameters (Å, degrees): 6.946 5.507 9.853 90.00 110.49 90.00
Fractional positions:
Tb 0.000 0.000 0.000
Tb 0.145 0.500 0.291
Tb 0.322 0.500 0.640
Tb 0.416 0.000 0.830
Tb 0.584 0.000 0.170
Tb 0.678 0.500 0.360
Tb 0.855 0.500 0.709
Ho 0.000 0.000 0.500
Ho 0.280 0.500 0.000
Ho 0.720 0.500 0.000
Tm 0.500 0.000 0.500

Output
E_form   0.139 eV/atom
Space group   No. 10
Total magnetization   0.0 μB per cell
Relative energy among the computed polymorphs   0 meV per atom